[1]
# Cs2HoZn2Te4

Cs2HoZn2Te4 after structural relaxation (PBE, Alexandria).

abc: 4.8056 8.6217 8.7478
angles: 107.64 90.00 106.18
Closest atoms and distances in Å follow each position.
Atoms (fractional coordinates):
Cs: 0.1339 0.2678 0.5676  7 Te 3.90-4.07, 3 Zn 4.14-4.33, 1 Cs 4.21
Cs: 0.8661 0.7322 0.4324  7 Te 3.90-4.07, 3 Zn 4.14-4.33, 1 Cs 4.21
Zn: 0.3275 0.6550 0.0035  4 Te 2.74-2.86
Zn: 0.6725 0.3450 0.9965  4 Te 2.74-2.86
Te: 0.1976 0.3951 0.1549  3 Zn 2.74-2.86
Te: 0.8024 0.6049 0.8451  3 Zn 2.74-2.86
Te: 0.4871 0.9742 0.2258  1 Zn 2.74
Te: 0.5129 0.0258 0.7742  1 Zn 2.74
Ho: 0.0000 0.0000 0.0000  6 Te 3.12-3.16

## Properties
For the total magnetic moment, the calculation gives 0.00 μB per cell. The raw formation energy comes out at -0.879 eV/atom. The calculation puts the total energy at -3.257 eV/atom. The crystal system is monoclinic. For the density of states at the Fermi level, the calculation gives 1.921 states/eV per cell. The space-group type is C2/m, No. 12.

---

[2]
# Cs4Ho3ZrTe8

Cs4Ho3ZrTe8 after structural relaxation (PBE, Alexandria).

abc: 8.9432 10.3104 8.9462
angles: 115.73 119.99 90.00
Closest atoms and distances in Å follow each position.
Atoms (fractional coordinates):
Te: 0.7388 0.6874 0.9631  1 Zr 3.01, 2 Ho 3.11
Te: 0.2244 0.6874 0.4489  1 Zr 3.02, 2 Ho 3.11
Te: 0.2244 0.6874 0.9631  1 Zr 3.01, 2 Ho 3.11
Te: 0.7756 0.3126 0.0369  1 Zr 3.01, 2 Ho 3.11
Te: 0.7756 0.3126 0.5511  1 Zr 3.02, 2 Ho 3.11
Te: 0.7303 0.6907 0.4605  3 Ho 3.09
Te: 0.2612 0.3126 0.0369  1 Zr 3.01, 2 Ho 3.11
Te: 0.2697 0.3093 0.5395  3 Ho 3.09
Cs: 0.0000 0.0000 0.5000  6 Te 3.78
Cs: 0.5000 0.0000 0.5000  6 Te 3.78
Cs: 0.5000 0.0000 0.0000  6 Te 3.85
Cs: 0.0000 0.0000 0.0000  6 Te 3.78
Ho: 0.0000 0.5000 0.5000  6 Te 3.09-3.11
Ho: 0.5000 0.5000 0.0000  6 Te 3.09-3.11
Ho: 0.5000 0.5000 0.5000  6 Te 3.09-3.11
Zr: 0.0000 0.5000 0.0000  6 Te 3.01-3.02

## Properties
For the total magnetic moment, the calculation gives 0.87 μB per cell. The raw formation energy comes out at -1.253 eV/atom. The calculation puts the total energy at -4.430 eV/atom. The crystal system is trigonal. For the density of states at the Fermi level, the calculation gives 4.565 states/eV per cell. The space-group type is R-3m, No. 166.

---

[3]
# CsI

CsI after structural relaxation (PBE, Alexandria).

abc: 5.5403 5.5403 5.5403
angles: 60.00 60.00 60.00
Closest atoms and distances in Å follow each position.
Atoms (fractional coordinates):
I: 0.5000 0.5000 0.5000  6 Cs 3.92
Cs: 0.0000 0.0000 0.0000  6 I 3.92

## Properties
For the total magnetic moment, the calculation gives 0.00 μB per cell. The raw formation energy comes out at -1.552 eV/atom. The calculation puts the total energy at -2.753 eV/atom. The crystal system is cubic. For the density of states at the Fermi level, the calculation gives 0.000 states/eV per cell. The space-group type is Fm-3m, No. 225.

---

[4]
# CsI

CsI after structural relaxation (PBE, Alexandria).

abc: 5.3927 9.5711 9.3127
angles: 90.00 90.00 90.00
Closest atoms and distances in Å follow each position.
Atoms (fractional coordinates):
Cs: 0.7500 0.9998 0.7506  6 I 3.92-3.93
Cs: 0.2500 0.0002 0.2494  6 I 3.92-3.93
Cs: 0.2500 0.5002 0.2506  6 I 3.92-3.93
Cs: 0.7500 0.4998 0.7494  6 I 3.92-3.93
I: 0.7500 0.7494 0.0839  6 Cs 3.92-3.93
I: 0.2500 0.7506 0.5839  6 Cs 3.92-3.93
I: 0.7500 0.2494 0.4161  6 Cs 3.92-3.93
I: 0.2500 0.2506 0.9161  6 Cs 3.92-3.93

## Properties
For the total magnetic moment, the calculation gives 0.00 μB per cell. The raw formation energy comes out at -1.531 eV/atom. The calculation puts the total energy at -2.733 eV/atom. The crystal system is orthorhombic. For the density of states at the Fermi level, the calculation gives 0.000 states/eV per cell. The space-group type is Pnma, No. 62.